Record 1
NaLiOF2 | PBE | relaxed

a b c (Å): 4.3398 4.3398 4.2705
angles (deg): 90.00 90.00 90.00
With the nearest neighbours (Å) after each atom.
Atoms (fractional coordinates):
Na 0.0000 0.0000 0.0000  2 O 2.14, 4 F 2.17
Li 0.5000 0.5000 0.5000  8 F 3.04, 4 O 3.07
O 0.0000 0.0000 0.5000  2 Na 2.14
F 0.0000 0.5000 0.0000  2 Na 2.17
F 0.5000 0.0000 0.0000  2 Na 2.17

Calculated values
Formation energy (no corrections) in meV per atom: -1170
Distance to the lowest polymorph of the same formula in meV/atom: 394

***

Record 2
NaLiO2F | PBE | relaxed

a b c (Å): 4.3568 4.3568 4.2561
angles (deg): 90.00 90.00 90.00
With the nearest neighbours (Å) after each atom.
Atoms (fractional coordinates):
Na 0.0000 0.0000 0.0000  2 F 2.13, 4 O 2.18
Li 0.5000 0.5000 0.5000  8 O 3.05, 4 F 3.08
O 0.0000 0.5000 0.0000  2 Na 2.18
O 0.5000 0.0000 0.0000  2 Na 2.18
F 0.0000 0.0000 0.5000  2 Na 2.13

Calculated values
Formation energy (no corrections) in meV per atom: -492

***

Record 3
NaLiOF2 | PBE | relaxed

a b c (Å): 3.9635 3.9635 3.7197
angles (deg): 90.00 90.00 90.00
With the nearest neighbours (Å) after each atom.
Atoms (fractional coordinates):
Na 0.5000 0.5000 0.5000  8 F 2.72, 4 O 2.80
Li 0.0000 0.0000 0.0000  2 O 1.86, 4 F 1.98
O 0.0000 0.0000 0.5000  2 Li 1.86
F 0.0000 0.5000 0.0000  2 Li 1.98
F 0.5000 0.0000 0.0000  2 Li 1.98

Calculated values
Formation energy (no corrections) in meV per atom: -1564
Distance to the lowest polymorph of the same formula in meV/atom: 0